{
  "formula": "MnVPdF6",
  "functional": "PBE+U",
  "state": "optimized geometry",
  "cell": [[-1.810, 0.545, -5.229], [-2.681, -3.352, 3.535], [-5.777, 7.563, 2.788]],
  "species": ["Pd", "Pd", "F", "F", "F", "F", "F", "F", "F", "F", "F", "F", "F", "F", "V", "V", "Mn", "Mn"],
  "frac_coords": [[0.000, 0.000, 0.000], [0.000, 0.000, 0.500], [0.977, 0.625, 0.358], [0.023, 0.648, 0.858], [0.375, 0.352, 0.358], [0.375, 0.023, 0.142], [0.625, 0.648, 0.642], [0.352, 0.375, 0.858], [0.648, 0.625, 0.142], [0.648, 0.023, 0.358], [0.352, 0.977, 0.642], [0.023, 0.375, 0.642], [0.625, 0.977, 0.858], [0.977, 0.352, 0.142], [0.667, 0.333, 0.250], [0.333, 0.667, 0.750], [0.333, 0.667, 0.250], [0.667, 0.333, 0.750]],
  "n_ef_per_ev_cell": 13.2,
  "total_energy_ev_per_fu": -51.1
}